Entry 1:
The following is a DFT calculation (SCAN) of IrSe3 at its PBEsol-relaxed geometry.

Cell: 3.408 7.736 7.736 Å, 120.00 90.00 90.00°
Sites, in units of the cell vectors:
Ir: 0.750 0.667 0.333
Ir: 0.250 0.333 0.667
Se: 0.750 0.200 0.800
Se: 0.750 0.600 0.800
Se: 0.750 0.200 0.400
Se: 0.250 0.800 0.200
Se: 0.250 0.400 0.200
Se: 0.250 0.800 0.600

Properties
density: 8.1 g/cm3
formation energy without anion corrections: 0.112 eV per atom
total magnetization: 0.0 μB per cell
volume: 22.08 A^3/atom

Entry 2:
The following is a DFT calculation (SCAN) of BaNiP2 at its PBEsol-relaxed geometry.

Cell: 3.927 3.927 6.118 Å, 71.28 71.28 60.00°
Sites, in units of the cell vectors:
Ba: 0.500 0.500 0.500
Ni: 0.000 0.000 0.000
P: 0.297 0.297 0.108
P: 0.703 0.703 0.892

Properties
density: 5.6 g/cm3
raw total energy: -19.727 eV per atom
total magnetization: 0.0 μB per cell
volume: 18.97 A^3/atom

Entry 3:
The following is a DFT calculation (SCAN) of Na2CrMoCl at its PBEsol-relaxed geometry.

Cell: 4.543 4.936 4.936 Å, 90.00 90.00 90.00°
Last column: magnetic moment on the atom in μB.
Sites, in units of the cell vectors:
Cr: 0.500 0.500 0.500  4.27
Mo: 0.500 0.000 0.000  -2.87
Na: 0.000 0.000 0.500  0.02
Na: 0.000 0.500 0.000  0.02
Cl: 0.000 0.000 0.000  -0.02

Properties
density: 3.4 g/cm3
formation energy without anion corrections: 0.612 eV per atom
total magnetization: 2.2 μB per cell
volume: 22.14 A^3/atom

Please write out number 3 again, unchanged.
The following is a DFT calculation (SCAN) of Na2CrMoCl at its PBEsol-relaxed geometry.

Cell: 4.543 4.936 4.936 Å, 90.00 90.00 90.00°
Last column: magnetic moment on the atom in μB.
Sites, in units of the cell vectors:
Cr: 0.500 0.500 0.500  4.27
Mo: 0.500 0.000 0.000  -2.87
Na: 0.000 0.000 0.500  0.02
Na: 0.000 0.500 0.000  0.02
Cl: 0.000 0.000 0.000  -0.02

Properties
density: 3.4 g/cm3
formation energy without anion corrections: 0.612 eV per atom
total magnetization: 2.2 μB per cell
volume: 22.14 A^3/atom

Repeat the third record exactly.
The following is a DFT calculation (SCAN) of Na2CrMoCl at its PBEsol-relaxed geometry.

Cell: 4.543 4.936 4.936 Å, 90.00 90.00 90.00°
Last column: magnetic moment on the atom in μB.
Sites, in units of the cell vectors:
Cr: 0.500 0.500 0.500  4.27
Mo: 0.500 0.000 0.000  -2.87
Na: 0.000 0.000 0.500  0.02
Na: 0.000 0.500 0.000  0.02
Cl: 0.000 0.000 0.000  -0.02

Properties
density: 3.4 g/cm3
formation energy without anion corrections: 0.612 eV per atom
total magnetization: 2.2 μB per cell
volume: 22.14 A^3/atom

The lowest density belongs to which entry? Na2CrMoCl

density of number 3 (Na2CrMoCl)? 3.4 g/cm3